(1)
{"formula": "Pm2GdAs", "functional": "PBE", "state": "relaxed", "polymorph_energy_ev_per_atom": 0.049, "formation_energy_ev_per_atom": -0.548, "lattice": [[3.8503, 0.0000, 0.0000], [0.0000, 3.8503, 0.0000], [0.0000, 0.0000, 7.7478]], "species": ["Gd", "Pm", "As", "Pm"], "frac_coords": [[0.5000, 0.5000, 0.5000], [0.0000, 0.0000, 0.2023], [0.5000, 0.5000, 0.0000], [0.0000, 0.0000, 0.7977]]}



(2)
{"formula": "PrGd2As", "functional": "PBE", "state": "relaxed", "polymorph_energy_ev_per_atom": 0.000, "formation_energy_ev_per_atom": -0.587, "lattice": [[3.7569, 0.0000, 0.0000], [0.0000, 3.7569, 0.0000], [0.0000, 0.0000, 8.0803]], "species": ["As", "Gd", "Gd", "Pr"], "frac_coords": [[0.5000, 0.5000, 0.0000], [0.0000, 0.0000, 0.1942], [0.0000, 0.0000, 0.8058], [0.5000, 0.5000, 0.5000]]}



(3)
{"formula": "PrGd2As", "functional": "PBE", "state": "relaxed", "polymorph_energy_ev_per_atom": 0.121, "formation_energy_ev_per_atom": -0.466, "lattice": [[-2.2295, 0.2303, -3.1102], [-0.6100, -3.1108, -2.1558], [-9.3066, -3.3511, 4.0605]], "species": ["Pr", "Gd", "Gd", "As"], "frac_coords": [[0.0000, 0.0000, 0.0000], [0.1112, 0.1112, 0.6663], [0.8888, 0.8888, 0.3337], [0.5000, 0.5000, 0.5000]]}



(4)
{"formula": "Gd2AsPt", "functional": "PBE", "state": "relaxed", "formation_energy_ev_per_atom": -1.228, "lattice": [[-1.6501, -2.7930, -2.5375], [-0.2645, -3.9408, 1.1672], [-6.8472, -1.0284, 2.2424]], "species": ["Gd", "Pt", "Gd", "As"], "frac_coords": [[0.2491, 0.2491, 0.2527], [0.5000, 0.5000, 0.5000], [0.7509, 0.7509, 0.7473], [0.0000, 0.0000, 0.0000]]}